The following is a PBE calculation of crystalline Rb2CaZnCl6 at its relaxed geometry, from the Alexandria database.

Results
Excess energy over the best structure of this formula in the dataset = 3.1 meV/atom

Cell: 10.4126 10.4126 10.4126 Å, 90.00 90.00 90.00°
With the nearest neighbours (Å) after each atom.
Space group Fm-3m (No. 225)
Asymmetric unit:
Rb 0.2500 0.2500 0.2500 [8 per cell]  12 Cl 3.68
Ca 0.0000 0.0000 0.0000 [4 per cell]  6 Cl 2.72
Zn 0.0000 0.0000 0.5000 [4 per cell]  6 Cl 2.49
Cl 0.0000 0.0000 0.2609 [24 per cell]  1 Zn 2.49, 1 Ca 2.72

The following is a PBE calculation of crystalline RbCaZrCl6 at its relaxed geometry, from the Alexandria database.

Cell: 7.0063 7.0063 14.4174 Å, 90.00 90.00 120.00°
With the nearest neighbours (Å) after each atom.
Space group P-31c (No. 163)
Asymmetric unit:
Rb 0.0000 0.0000 0.0000 [2 per cell]  6 Cl 3.36
Ca 0.3333 0.6667 0.2500 [2 per cell]  6 Cl 2.75
Zr 0.3333 0.6667 0.7500 [2 per cell]  6 Cl 2.58
Cl 0.0190 0.3827 0.6465 [12 per cell]  1 Zr 2.58, 1 Ca 2.75

The following is a PBE calculation of crystalline Rb2CaZrCl6 at its relaxed geometry, from the Alexandria database.

Cell: 10.6698 10.6698 10.6698 Å, 90.00 90.00 90.00°
With the nearest neighbours (Å) after each atom.
Space group Fm-3m (No. 225)
Asymmetric unit:
Rb 0.2500 0.2500 0.2500 [8 per cell]  12 Cl 3.77
Ca 0.0000 0.0000 0.0000 [4 per cell]  6 Cl 2.71
Zr 0.0000 0.0000 0.5000 [4 per cell]  6 Cl 2.63
Cl 0.0000 0.0000 0.2538 [24 per cell]  1 Zr 2.63, 1 Ca 2.71

The following is a PBE calculation of crystalline CaReCl2 at its relaxed geometry, from the Alexandria database.

Results
Excess energy over the best structure of this formula in the dataset = 504.0 meV/atom

Cell: 6.7724 6.7724 6.7724 Å, 90.00 90.00 90.00°
With the nearest neighbours (Å) after each atom.
Space group Fm-3m (No. 225)
Asymmetric unit:
Ca 0.0000 0.0000 0.0000 [4 per cell]  8 Cl 2.93
Re 0.0000 0.0000 0.5000 [4 per cell]  8 Cl 2.93
Cl 0.2500 0.2500 0.2500 [8 per cell]  4 Re 2.93, 4 Ca 2.93

The following is a PBE calculation of crystalline CaReCl2 at its relaxed geometry, from the Alexandria database.

Results
Excess energy over the best structure of this formula in the dataset = 236.9 meV/atom

Cell: 3.2613 3.2613 10.6682 Å, 90.00 90.00 90.00°
With the nearest neighbours (Å) after each atom.
Space group P4/mmm (No. 123)
Asymmetric unit:
Ca 0.0000 0.0000 0.0000 [1 per cell]  8 Cl 2.81
Re 0.0000 0.0000 0.5000 [1 per cell]  4 Re 3.26
Cl 0.5000 0.5000 0.1504 [2 per cell]  4 Ca 2.81

The following is a PBE calculation of crystalline CaReCl2 at its relaxed geometry, from the Alexandria database.

Results
Excess energy over the best structure of this formula in the dataset = 466.7 meV/atom

Cell: 4.6371 4.6371 3.2665 Å, 90.00 90.00 90.00°
With the nearest neighbours (Å) after each atom.
Space group P4/mmm (No. 123)
Asymmetric unit:
Ca 0.0000 0.0000 0.0000 [1 per cell]  8 Cl 2.84
Re 0.5000 0.5000 0.0000 [1 per cell]  8 Cl 2.84
Cl 0.0000 0.5000 0.5000 [2 per cell]  4 Re 2.84, 4 Ca 2.84

The following is a PBE calculation of crystalline CaReCl2 at its relaxed geometry, from the Alexandria database.

Results
Excess energy over the best structure of this formula in the dataset = 270.6 meV/atom

Cell: 3.0942 4.3718 6.0763 Å, 90.00 90.00 90.00°
With the nearest neighbours (Å) after each atom.
Space group Pmmm (No. 47)
Asymmetric unit:
Ca 0.0000 0.0000 0.0000 [1 per cell]  4 Cl 2.68
Re 0.5000 0.0000 0.5000 [1 per cell]  4 Cl 2.68
Cl 0.0000 0.5000 0.5000 [1 per cell]  4 Re 2.68
Cl 0.5000 0.5000 0.0000 [1 per cell]  4 Ca 2.68

The following is a PBE calculation of crystalline CaReCl2 at its relaxed geometry, from the Alexandria database.

Results
Excess energy over the best structure of this formula in the dataset = 20.1 meV/atom

Cell: 13.1091 3.3754 5.2590 Å, 90.00 91.50 90.00°
With the nearest neighbours (Å) after each atom.
Space group C2/m (No. 12)
Asymmetric unit:
Ca 0.0000 0.0000 0.0000 [2 per cell]  4 Cl 2.83, 4 Re 3.12
Re 0.0000 0.5000 0.5000 [2 per cell]  2 Cl 2.35
Cl 0.1448 0.5000 0.7717 [4 per cell]  1 Re 2.35

Results for E: -3.459 -4.491 -4.208 -4.303 -4.570 -4.340 -4.537 -4.787 (in eV/atom, following the order of the records).
Results for total magnetization: 0.00 1.00 2.00 2.95 4.08 0.36 1.84 2.43 (in μB/f.u., following the order of the records).